[1]
Entry from Alexandria: an optimized crystal structure of TbHfSi (PBE).

```
data_TbHfSi
_chemical_formula_sum 'Tb9 Hf9 Si9'
_cell_length_a 6.5002
_cell_length_b 6.5002
_cell_length_c 17.7080
_cell_angle_alpha 90.00
_cell_angle_beta 90.00
_cell_angle_gamma 120.00
_space_group_name_H-M_alt 'R 3'
_space_group_IT_number 146
_space_group_name_Hall 'R 3'
loop_
_atom_site_label
_atom_site_type_symbol
_atom_site_fract_x
_atom_site_fract_y
_atom_site_fract_z
Tb1 Tb 0.0002 0.6106 0.0000
Hf1 Hf 0.0052 0.3867 0.5005
Si1 Si 0.0000 0.0000 0.0722
Si2 Si 0.0000 0.0000 0.5501
Si3 Si 0.0000 0.0000 0.9303
```

Values from the calculation:
Mass density: 8.43 Mg/m³

[2]
Entry from Alexandria: an optimized crystal structure of HfSiTc2 (PBE).

```
data_HfSiTc2
_chemical_formula_sum 'Hf1 Si1 Tc2'
_cell_length_a 4.3247
_cell_length_b 4.3247
_cell_length_c 3.2525
_cell_angle_alpha 90.00
_cell_angle_beta 90.00
_cell_angle_gamma 90.00
_space_group_name_H-M_alt 'P 4/m m m'
_space_group_IT_number 123
_space_group_name_Hall '-P 4 2'
loop_
_atom_site_label
_atom_site_type_symbol
_atom_site_fract_x
_atom_site_fract_y
_atom_site_fract_z
Hf1 Hf 0.0000 0.0000 0.0000
Si1 Si 0.5000 0.5000 0.0000
Tc1 Tc 0.0000 0.5000 0.5000
```

Values from the calculation:
Mass density: 10.99 Mg/m³

[3]
Entry from Alexandria: an optimized crystal structure of Hf2Si2Tc (PBE).

```
data_Hf2Si2Tc
_chemical_formula_sum 'Hf4 Si4 Tc2'
_cell_length_a 6.5070
_cell_length_b 6.5070
_cell_length_c 3.8919
_cell_angle_alpha 90.00
_cell_angle_beta 90.00
_cell_angle_gamma 90.00
_space_group_name_H-M_alt 'P 4/m b m'
_space_group_IT_number 127
_space_group_name_Hall '-P 4 2ab'
loop_
_atom_site_label
_atom_site_type_symbol
_atom_site_fract_x
_atom_site_fract_y
_atom_site_fract_z
Hf1 Hf 0.1726 0.3274 0.0000
Si1 Si 0.1313 0.6313 0.5000
Tc1 Tc 0.0000 0.0000 0.5000
```

Values from the calculation:
Energy above the lowest structure with this stoichiometry: 0.000 eV/atom
Mass density: 10.30 Mg/m³

[4]
Entry from Alexandria: an optimized crystal structure of HfSiTc2 (PBE).

```
data_HfSiTc2
_chemical_formula_sum 'Hf4 Si4 Tc8'
_cell_length_a 7.1504
_cell_length_b 7.1504
_cell_length_c 5.3485
_cell_angle_alpha 90.00
_cell_angle_beta 90.00
_cell_angle_gamma 90.00
_space_group_name_H-M_alt 'I -4 2 d'
_space_group_IT_number 122
_space_group_name_Hall 'I -4 2bw'
loop_
_atom_site_label
_atom_site_type_symbol
_atom_site_fract_x
_atom_site_fract_y
_atom_site_fract_z
Hf1 Hf 0.0000 0.0000 0.0000
Si1 Si 0.0000 0.0000 0.5000
Tc1 Tc 0.1813 0.2500 0.6250
```

Values from the calculation:
Mass density: 9.78 Mg/m³

[5]
Entry from Alexandria: an optimized crystal structure of Hf5SiTc6 (PBE).

```
data_Hf5SiTc6
_chemical_formula_sum 'Hf10 Si2 Tc12'
_cell_length_a 4.5529
_cell_length_b 6.4883
_cell_length_c 13.5722
_cell_angle_alpha 90.00
_cell_angle_beta 90.00
_cell_angle_gamma 90.00
_space_group_name_H-M_alt 'I m m m'
_space_group_IT_number 71
_space_group_name_Hall '-I 2 2'
loop_
_atom_site_label
_atom_site_type_symbol
_atom_site_fract_x
_atom_site_fract_y
_atom_site_fract_z
Hf1 Hf 0.0000 0.0000 0.0000
Hf2 Hf 0.0000 0.0000 0.3391
Hf3 Hf 0.0000 0.5000 0.3315
Si1 Si 0.0000 0.5000 0.0000
Tc1 Tc 0.0000 0.2452 0.5000
Tc2 Tc 0.0000 0.2541 0.1625
```

Values from the calculation:
Mass density: 12.50 Mg/m³

[6]
Entry from Alexandria: an optimized crystal structure of HfSiTc3 (PBE).

```
data_HfSiTc3
_chemical_formula_sum 'Hf1 Si1 Tc3'
_cell_length_a 4.4252
_cell_length_b 4.4252
_cell_length_c 4.4252
_cell_angle_alpha 90.00
_cell_angle_beta 90.00
_cell_angle_gamma 90.00
_space_group_name_H-M_alt 'P m -3 m'
_space_group_IT_number 221
_space_group_name_Hall '-P 4 2 3'
loop_
_atom_site_label
_atom_site_type_symbol
_atom_site_fract_x
_atom_site_fract_y
_atom_site_fract_z
Hf1 Hf 0.0000 0.0000 0.0000
Si1 Si 0.5000 0.5000 0.5000
Tc1 Tc 0.0000 0.5000 0.5000
```

Values from the calculation:
Energy above the lowest structure with this stoichiometry: 0.000 eV/atom
Mass density: 9.59 Mg/m³

[7]
Entry from Alexandria: an optimized crystal structure of HfSiTc3 (PBE).

```
data_HfSiTc3
_chemical_formula_sum 'Hf1 Si1 Tc3'
_cell_length_a 4.7445
_cell_length_b 4.7445
_cell_length_c 4.7445
_cell_angle_alpha 90.00
_cell_angle_beta 90.00
_cell_angle_gamma 90.00
_space_group_name_H-M_alt 'P m -3 m'
_space_group_IT_number 221
_space_group_name_Hall '-P 4 2 3'
loop_
_atom_site_label
_atom_site_type_symbol
_atom_site_fract_x
_atom_site_fract_y
_atom_site_fract_z
Hf1 Hf 0.0000 0.0000 0.0000
Si1 Si 0.5000 0.5000 0.5000
Tc1 Tc 0.0000 0.0000 0.5000
```

Values from the calculation:
Energy above the lowest structure with this stoichiometry: 1.688 eV/atom
Mass density: 7.78 Mg/m³

[8]
Entry from Alexandria: an optimized crystal structure of HfSi2Tc (PBE).

```
data_HfSi2Tc
_chemical_formula_sum 'Hf4 Si8 Tc4'
_cell_length_a 6.2574
_cell_length_b 6.2574
_cell_length_c 6.2574
_cell_angle_alpha 90.00
_cell_angle_beta 90.00
_cell_angle_gamma 90.00
_space_group_name_H-M_alt 'F m -3 m'
_space_group_IT_number 225
_space_group_name_Hall '-F 4 2 3'
loop_
_atom_site_label
_atom_site_type_symbol
_atom_site_fract_x
_atom_site_fract_y
_atom_site_fract_z
Hf1 Hf 0.0000 0.0000 0.0000
Si1 Si 0.2500 0.2500 0.2500
Tc1 Tc 0.0000 0.0000 0.5000
```

Values from the calculation:
Energy above the lowest structure with this stoichiometry: 0.186 eV/atom
Mass density: 9.02 Mg/m³

[9]
Entry from Alexandria: an optimized crystal structure of HfSi2Tc2 (PBE).

```
data_HfSi2Tc2
_chemical_formula_sum 'Hf2 Si4 Tc4'
_cell_length_a 7.0359
_cell_length_b 7.0359
_cell_length_c 3.0159
_cell_angle_alpha 90.00
_cell_angle_beta 90.00
_cell_angle_gamma 90.00
_space_group_name_H-M_alt 'P 4/m b m'
_space_group_IT_number 127
_space_group_name_Hall '-P 4 2ab'
loop_
_atom_site_label
_atom_site_type_symbol
_atom_site_fract_x
_atom_site_fract_y
_atom_site_fract_z
Hf1 Hf 0.0000 0.0000 0.0000
Si1 Si 0.1351 0.3649 0.0000
Tc1 Tc 0.1549 0.6549 0.5000
```

Values from the calculation:
Energy above the lowest structure with this stoichiometry: 0.000 eV/atom
Mass density: 9.58 Mg/m³

[10]
Entry from Alexandria: an optimized crystal structure of HfSi2Tc (PBE).

```
data_HfSi2Tc
_chemical_formula_sum 'Hf3 Si6 Tc3'
_cell_length_a 4.0853
_cell_length_b 4.0853
_cell_length_c 13.1535
_cell_angle_alpha 90.00
_cell_angle_beta 90.00
_cell_angle_gamma 120.00
_space_group_name_H-M_alt 'R -3 m'
_space_group_IT_number 166
_space_group_name_Hall '-R 3 2"'
loop_
_atom_site_label
_atom_site_type_symbol
_atom_site_fract_x
_atom_site_fract_y
_atom_site_fract_z
Hf1 Hf 0.0000 0.0000 0.0000
Si1 Si 0.0000 0.0000 0.2200
Tc1 Tc 0.0000 0.0000 0.5000
```

Values from the calculation:
Energy above the lowest structure with this stoichiometry: 0.000 eV/atom
Mass density: 8.72 Mg/m³

[11]
Entry from Alexandria: an optimized crystal structure of Hf2SiTc (PBE).

```
data_Hf2SiTc
_chemical_formula_sum 'Hf6 Si3 Tc3'
_cell_length_a 2.9546
_cell_length_b 2.9546
_cell_length_c 29.1104
_cell_angle_alpha 90.00
_cell_angle_beta 90.00
_cell_angle_gamma 120.00
_space_group_name_H-M_alt 'R -3 m'
_space_group_IT_number 166
_space_group_name_Hall '-R 3 2"'
loop_
_atom_site_label
_atom_site_type_symbol
_atom_site_fract_x
_atom_site_fract_y
_atom_site_fract_z
Hf1 Hf 0.0000 0.0000 0.0873
Si1 Si 0.0000 0.0000 0.5000
Tc1 Tc 0.0000 0.0000 0.0000
```

Values from the calculation:
Mass density: 10.93 Mg/m³

[12]
Entry from Alexandria: an optimized crystal structure of Hf2SiTc (PBE).

```
data_Hf2SiTc
_chemical_formula_sum 'Hf2 Si1 Tc1'
_cell_length_a 4.4526
_cell_length_b 4.4526
_cell_length_c 3.5028
_cell_angle_alpha 90.00
_cell_angle_beta 90.00
_cell_angle_gamma 90.00
_space_group_name_H-M_alt 'P 4/m m m'
_space_group_IT_number 123
_space_group_name_Hall '-P 4 2'
loop_
_atom_site_label
_atom_site_type_symbol
_atom_site_fract_x
_atom_site_fract_y
_atom_site_fract_z
Hf1 Hf 0.0000 0.5000 0.0000
Si1 Si 0.0000 0.0000 0.5000
Tc1 Tc 0.5000 0.5000 0.5000
```

Values from the calculation:
Mass density: 11.55 Mg/m³

[13]
Entry from Alexandria: an optimized crystal structure of HfSi2Tc (PBE).

```
data_HfSi2Tc
_chemical_formula_sum 'Hf4 Si8 Tc4'
_cell_length_a 3.8464
_cell_length_b 3.8464
_cell_length_c 18.3170
_cell_angle_alpha 90.00
_cell_angle_beta 90.00
_cell_angle_gamma 90.00
_space_group_name_H-M_alt 'I -4 2 d'
_space_group_IT_number 122
_space_group_name_Hall 'I -4 2bw'
loop_
_atom_site_label
_atom_site_type_symbol
_atom_site_fract_x
_atom_site_fract_y
_atom_site_fract_z
Hf1 Hf 0.0000 0.0000 0.0000
Si1 Si 0.2140 0.2500 0.6250
Tc1 Tc 0.0000 0.0000 0.5000
```

Values from the calculation:
Energy above the lowest structure with this stoichiometry: 0.484 eV/atom
Mass density: 8.15 Mg/m³

Number 1: E_tot -20.59 eV per formula unit. Number 2: E_tot -37.88 eV per formula unit. Number 3: E_tot -45.19 eV per formula unit. Number 4: E_tot -35.53 eV per formula unit. Number 5: E_tot -122.66 eV per formula unit. Number 6: E_tot -44.90 eV per formula unit. Number 7: E_tot -36.46 eV per formula unit. Number 8: E_tot -32.39 eV per formula unit. Number 9: E_tot -44.03 eV per formula unit. Number 10: E_tot -33.13 eV per formula unit. Number 11: E_tot -34.72 eV per formula unit. Number 12: E_tot -37.59 eV per formula unit. Number 13: E_tot -31.20 eV per formula unit.